First-principles (PBE) data for a relaxed Tc2AgSe4 crystal, as listed in OQMD.

The structure belongs to space group Fd-3m (No. 227, origin choice 2); the cell edges are 10.693, 10.693 and 10.693 Å and the angles 90.00°, 90.00° and 90.00°. The asymmetric unit holds Tc at (0.000, 0.000, 0.000), Ag at (0.125, 0.125, 0.625) and Se at (0.013, 0.013, 0.237).

The value obtained for the final energy is -305.28 eV for the cell shown. The value obtained for the spin magnetization is 4.01 μB/f.u.

***

First-principles (PBE) data for a relaxed LuMgPd crystal, as listed in OQMD.

The structure belongs to space group F-43m (No. 216); the cell edges are 6.669, 6.669 and 6.669 Å and the angles 90.00°, 90.00° and 90.00°. The asymmetric unit holds Lu at (0.000, 0.000, 0.000), Mg at (0.250, 0.250, 0.750) and Pd at (0.250, 0.250, 0.250).

The value obtained for the final energy is -44.13 eV for the cell shown. The value obtained for the spin magnetization is 0.00 μB/f.u.

***

First-principles (PBE) data for a relaxed Sc4SbAuC2 crystal, as listed in OQMD.

The structure belongs to space group P-6m2 (No. 187); the cell edges are 3.4121, 3.4121 and 13.8923 Å and the angles 90.00°, 90.00° and 120.00°. The asymmetric unit holds Sc at (0.0000, 0.0000, 0.1550), Sc at (0.3333, 0.6667, 0.3276), Sb at (0.0000, 0.0000, 0.5000), Au at (0.3333, 0.6667, 0.0000) and C at (0.6667, 0.3333, 0.2421).

The value obtained for the final energy is -56.56 eV for the cell shown. The value obtained for the spin magnetization is 0.50 μB/f.u.

***

First-principles (PBE) data for a relaxed DyZr4C2S crystal, as listed in OQMD.

The structure belongs to space group P-6m2 (No. 187); the cell edges are 3.3990, 3.3990 and 14.5064 Å and the angles 90.00°, 90.00° and 120.00°. The asymmetric unit holds Dy at (0.0000, 0.0000, 0.0000), Zr at (0.0000, 0.0000, 0.3742), Zr at (0.3333, 0.6667, 0.2012), C at (0.6667, 0.3333, 0.2878) and S at (0.3333, 0.6667, 0.5000).

The value obtained for the final energy is -68.32 eV for the cell shown. The value obtained for the spin magnetization is 0.87 μB/f.u.

***

First-principles (PBE) data for a relaxed Li2LaYNi2Sn2 crystal, as listed in OQMD.

The structure belongs to space group P-4m2 (No. 115); the cell edges are 4.699, 4.699 and 6.646 Å and the angles 90.00°, 90.00° and 90.00°. The asymmetric unit holds Li at (0.000, 0.500, 0.247), La at (0.000, 0.000, 0.500), Y at (0.500, 0.500, 0.000), Ni at (0.000, 0.500, 0.755), Sn at (0.000, 0.000, 0.000) and Sn at (0.500, 0.500, 0.500).

The value obtained for the final energy is -38.76 eV for the cell shown. The value obtained for the spin magnetization is 0.00 μB/f.u.

***

First-principles (PBE) data for a relaxed TbTm2Ga3NiGe2 crystal, as listed in OQMD.

The structure belongs to space group Amm2 (No. 38); the cell edges are 4.126, 12.053 and 6.929 Å and the angles 90.00°, 90.00° and 90.00°. The asymmetric unit holds Tb at (0.000, 0.000, 0.000), Tm at (0.000, 0.200, 0.400), Ga at (0.500, 0.000, 0.369), Ga at (0.500, 0.116, 0.713), Ni at (0.000, 0.000, 0.595) and Ge at (0.500, 0.169, 0.100).

The value obtained for the final energy is -87.76 eV for the cell shown. The value obtained for the spin magnetization is 0.00 μB/f.u.

***

First-principles (PBE) data for a relaxed NbCd crystal, as listed in OQMD.

The structure belongs to space group Fm-3m (No. 225); the cell edges are 5.570, 5.570 and 5.570 Å and the angles 90.00°, 90.00° and 90.00°. The asymmetric unit holds Nb at (0.000, 0.000, 0.000) and Cd at (0.000, 0.000, 0.500).

The calculation puts the formation energy at 100.3 kJ/mol of atoms. The value obtained for the spin magnetization is 0.01 μB/f.u.